No. 1
# Mg4HgPd15, relaxed, DFT PBE
data_Mg4HgPd15
_symmetry_space_group_name_H-M 'P 4/m m m'
_symmetry_Int_Tables_number 123
_symmetry_space_group_name_Hall '-P 4 2'
_cell_length_a 3.982
_cell_length_b 3.982
_cell_length_c 19.981
_cell_angle_alpha 90.00
_cell_angle_beta 90.00
_cell_angle_gamma 90.00
loop_
_atom_site_label
_atom_site_fract_x
_atom_site_fract_y
_atom_site_fract_z
Mg1 0.000 0.000 0.099
Mg2 0.000 0.000 0.297
Hg1 0.000 0.000 0.500
Pd1 0.000 0.500 0.000
Pd2 0.000 0.500 0.198
Pd3 0.000 0.500 0.395
Pd4 0.500 0.500 0.099
Pd5 0.500 0.500 0.296
Pd6 0.500 0.500 0.500
# VASP energy in eV per atom: -4.63
# M_tot in Bohr magnetons per cell: 0.00
# Energy of formation from the pure elements in meV per atom: -397
# Mass density in Mg/m³: 9.925

---

No. 2
# Pm2HPt, relaxed, DFT PBE
data_Pm2HPt
_symmetry_space_group_name_H-M 'R -3 m'
_symmetry_Int_Tables_number 166
_symmetry_space_group_name_Hall '-R 3 2"'
_cell_length_a 4.0921
_cell_length_b 4.0921
_cell_length_c 18.3716
_cell_angle_alpha 90.00
_cell_angle_beta 90.00
_cell_angle_gamma 120.00
loop_
_atom_site_label
_atom_site_fract_x
_atom_site_fract_y
_atom_site_fract_z
Pm1 0.0000 0.0000 0.2441
H1 0.0000 0.0000 0.5000
Pt1 0.0000 0.0000 0.0000
# Energy relative to the lowest polymorph listed for this composition in meV per atom: 0
# VASP energy in eV per atom: -5.41
# M_tot in Bohr magnetons per cell: 0.00
# Mass density in Mg/m³: 9.089

---

No. 3
# NaTmIn2, relaxed, DFT PBE
data_NaTmIn2
_symmetry_space_group_name_H-M 'R -3 m'
_symmetry_Int_Tables_number 166
_symmetry_space_group_name_Hall '-R 3 2"'
_cell_length_a 3.4656
_cell_length_b 3.4656
_cell_length_c 31.8521
_cell_angle_alpha 90.00
_cell_angle_beta 90.00
_cell_angle_gamma 120.00
loop_
_atom_site_label
_atom_site_fract_x
_atom_site_fract_y
_atom_site_fract_z
Na1 0.0000 0.0000 0.0000
Tm1 0.0000 0.0000 0.5000
In1 0.0000 0.0000 0.2480
# Energy relative to the lowest polymorph listed for this composition in meV per atom: 151
# VASP energy in eV per atom: -2.95
# M_tot in Bohr magnetons per cell: 0.00
# Energy of formation from the pure elements in meV per atom: -129
# Mass density in Mg/m³: 6.339